# 1
Be2HgMo2 after structural relaxation, computed with GGA-PBE.

The structure in POSCAR format:
```
Be2HgMo2
1.0
3.5510 0.0000 0.0000
0.0000 3.5510 0.0000
0.0000 0.0000 12.0410
Be Hg Mo
4 2 4
direct
0.0000 0.5000 0.2500
0.0000 0.5000 0.7500
0.5000 0.0000 0.2500
0.5000 0.0000 0.7500
0.0000 0.0000 0.0000
0.5000 0.5000 0.5000
0.0000 0.0000 0.3935
0.0000 0.0000 0.6065
0.5000 0.5000 0.1065
0.5000 0.5000 0.8935
```

Output
excess energy over the best structure of this formula in the dataset	289.5	kJ/mol of formula units

# 2
BeHgMo after structural relaxation, computed with GGA-PBE.

The structure in POSCAR format:
```
BeHgMo
1.0
6.1558 0.0000 0.0000
0.0000 6.1558 0.0000
0.0000 0.0000 6.1558
Be Hg Mo
4 4 4
direct
0.0000 0.0000 0.0000
0.0000 0.5000 0.5000
0.5000 0.0000 0.5000
0.5000 0.5000 0.0000
0.0000 0.0000 0.5000
0.0000 0.5000 0.0000
0.5000 0.0000 0.0000
0.5000 0.5000 0.5000
0.2500 0.2500 0.2500
0.2500 0.7500 0.7500
0.7500 0.2500 0.7500
0.7500 0.7500 0.2500
```

Output
excess energy over the best structure of this formula in the dataset	232.3	kJ/mol of formula units

# 3
BeHgMo3 after structural relaxation, computed with GGA-PBE.

The structure in POSCAR format:
```
BeHgMo3
1.0
4.2921 0.0000 0.0000
0.0000 4.2921 0.0000
0.0000 0.0000 4.2921
Be Hg Mo
1 1 3
direct
0.0000 0.0000 0.0000
0.5000 0.5000 0.5000
0.0000 0.0000 0.5000
0.0000 0.5000 0.0000
0.5000 0.0000 0.0000
```

Output
excess energy over the best structure of this formula in the dataset	0.0	kJ/mol of formula units

# 4
Be2HgMo after structural relaxation, computed with GGA-PBE.

The structure in POSCAR format:
```
Be2HgMo
1.0
8.3416 0.0000 0.0000
0.0000 2.7127 0.0000
-0.7513 0.0000 5.1908
Be Hg Mo
4 2 2
direct
0.2477 0.0000 0.1693
0.2523 0.5000 0.8307
0.7477 0.5000 0.1693
0.7523 0.0000 0.8307
0.0000 0.0000 0.5000
0.5000 0.5000 0.5000
0.0000 0.5000 0.0000
0.5000 0.0000 0.0000
```

Output
final energy	-4.217	eV/atom

# 5
BeHgMo2 after structural relaxation, computed with GGA-PBE.

The structure in POSCAR format:
```
BeHgMo2
1.0
3.8659 0.0000 0.0000
0.0000 4.0521 0.0000
0.0000 0.0000 7.7136
Be Hg Mo
2 2 4
direct
0.0000 0.0000 0.0000
0.5000 0.5000 0.0000
0.0000 0.0000 0.5000
0.5000 0.5000 0.5000
0.0000 0.5000 0.1995
0.0000 0.5000 0.8005
0.5000 0.0000 0.1995
0.5000 0.0000 0.8005
```

Output
excess energy over the best structure of this formula in the dataset	17.2	kJ/mol of formula units

# 6
Be2HgMo after structural relaxation, computed with GGA-PBE.

The structure in POSCAR format:
```
Be2HgMo
1.0
3.8477 0.0000 0.0000
0.0000 2.8962 0.0000
0.0000 0.0000 9.5219
Be Hg Mo
4 2 2
direct
0.0000 0.0000 0.0000
0.0000 0.5000 0.5000
0.5000 0.0000 0.1379
0.5000 0.5000 0.6379
0.0000 0.0000 0.7328
0.0000 0.5000 0.2328
0.5000 0.0000 0.4164
0.5000 0.5000 0.9164
```

Output
final energy	-4.307	eV/atom

# 7
BeHgMo2 after structural relaxation, computed with GGA-PBE.

The structure in POSCAR format:
```
BeHgMo2
1.0
9.1383 0.0000 0.0000
0.0000 2.7342 0.0000
-0.3703 0.0000 5.1277
Be Hg Mo
2 2 4
direct
0.0000 0.0000 0.0000
0.5000 0.5000 0.0000
0.2374 0.0000 0.7404
0.7374 0.5000 0.7404
0.2382 0.5000 0.2261
0.4926 0.0000 0.4326
0.7382 0.0000 0.2261
0.9926 0.5000 0.4326
```

Output
excess energy over the best structure of this formula in the dataset	75.2	kJ/mol of formula units

# 8
Be2HgMo after structural relaxation, computed with GGA-PBE.

The structure in POSCAR format:
```
Be2HgMo
1.0
6.1592 0.0000 0.0000
0.0000 6.1592 0.0000
0.0000 0.0000 6.1592
Be Hg Mo
8 4 4
direct
0.0000 0.0000 0.0000
0.0000 0.5000 0.5000
0.2500 0.2500 0.2500
0.2500 0.7500 0.7500
0.5000 0.0000 0.5000
0.5000 0.5000 0.0000
0.7500 0.2500 0.7500
0.7500 0.7500 0.2500
0.0000 0.0000 0.5000
0.0000 0.5000 0.0000
0.5000 0.0000 0.0000
0.5000 0.5000 0.5000
0.2500 0.2500 0.7500
0.2500 0.7500 0.2500
0.7500 0.2500 0.2500
0.7500 0.7500 0.7500
```

Output
final energy	-3.866	eV/atom

# 9
BeHgMo2 after structural relaxation, computed with GGA-PBE.

The structure in POSCAR format:
```
BeHgMo2
1.0
3.7450 0.0000 0.0000
0.0000 3.7450 0.0000
0.0000 0.0000 4.4058
Be Hg Mo
1 1 2
direct
0.0000 0.0000 0.0000
0.5000 0.5000 0.0000
0.0000 0.5000 0.5000
0.5000 0.0000 0.5000
```

Output
excess energy over the best structure of this formula in the dataset	50.5	kJ/mol of formula units

# 10
BeHgMo2 after structural relaxation, computed with GGA-PBE.

The structure in POSCAR format:
```
BeHgMo2
1.0
3.6927 0.0000 0.0000
0.0000 3.6927 0.0000
0.0000 0.0000 19.6003
Be Hg Mo
4 4 8
direct
0.0000 0.0000 0.0000
0.0000 0.5000 0.2500
0.5000 0.0000 0.7500
0.5000 0.5000 0.5000
0.0000 0.0000 0.5000
0.0000 0.5000 0.7500
0.5000 0.0000 0.2500
0.5000 0.5000 0.0000
0.2251 0.2500 0.1250
0.2500 0.7251 0.3750
0.2500 0.7749 0.8750
0.2749 0.2500 0.6250
0.7251 0.7500 0.6250
0.7500 0.2251 0.8750
0.7500 0.2749 0.3750
0.7749 0.7500 0.1250
```

Output
excess energy over the best structure of this formula in the dataset	182.1	kJ/mol of formula units

# 11
BeHgMo2 after structural relaxation, computed with GGA-PBE.

The structure in POSCAR format:
```
BeHgMo2
1.0
3.7564 0.0000 0.0000
0.0000 3.7564 0.0000
0.0000 0.0000 8.7671
Be Hg Mo
2 2 4
direct
0.0000 0.0000 0.0000
0.5000 0.5000 0.5000
0.0000 0.0000 0.5000
0.5000 0.5000 0.0000
0.0000 0.5000 0.2500
0.0000 0.5000 0.7500
0.5000 0.0000 0.2500
0.5000 0.0000 0.7500
```

Output
excess energy over the best structure of this formula in the dataset	51.7	kJ/mol of formula units

# 12
BeHgMo2 after structural relaxation, computed with GGA-PBE.

The structure in POSCAR format:
```
BeHgMo2
1.0
5.2456 0.0000 0.0000
0.0000 8.6825 0.0000
0.0000 0.0000 2.7494
Be Hg Mo
2 2 4
direct
0.0000 0.0000 0.0000
0.5000 0.5000 0.0000
0.0000 0.5000 0.0000
0.5000 0.0000 0.0000
0.2500 0.2500 0.5000
0.2500 0.7500 0.5000
0.7500 0.2500 0.5000
0.7500 0.7500 0.5000
```

Output
excess energy over the best structure of this formula in the dataset	79.9	kJ/mol of formula units

# 13
BeHgMo2 after structural relaxation, computed with GGA-PBE.

The structure in POSCAR format:
```
BeHgMo2
1.0
3.1378 0.0000 0.0000
0.0000 3.1378 0.0000
0.0000 0.0000 6.3399
Be Hg Mo
1 1 2
direct
0.0000 0.0000 0.0000
0.0000 0.0000 0.5000
0.5000 0.5000 0.1842
0.5000 0.5000 0.8158
```

Output
excess energy over the best structure of this formula in the dataset	12.1	kJ/mol of formula units

# 14
Be2HgMo2 after structural relaxation, computed with GGA-PBE.

The structure in POSCAR format:
```
Be2HgMo2
1.0
6.2526 0.0000 0.0000
0.0000 6.2526 0.0000
0.0000 0.0000 3.4006
Be Hg Mo
4 2 4
direct
0.1151 0.3849 0.0000
0.3849 0.8849 0.0000
0.6151 0.1151 0.0000
0.8849 0.6151 0.0000
0.0000 0.0000 0.0000
0.5000 0.5000 0.0000
0.1718 0.6718 0.5000
0.3282 0.1718 0.5000
0.6718 0.8282 0.5000
0.8282 0.3282 0.5000
```

Output
excess energy over the best structure of this formula in the dataset	0.0	kJ/mol of formula units

# 15
Be2HgMo after structural relaxation, computed with GGA-PBE.

The structure in POSCAR format:
```
Be2HgMo
1.0
2.8288 0.0000 0.0000
0.0000 4.1941 0.0000
0.0000 0.0000 9.0864
Be Hg Mo
4 2 2
direct
0.0000 0.0000 0.0000
0.0000 0.5000 0.2903
0.5000 0.0000 0.7903
0.5000 0.5000 0.5000
0.0000 0.0000 0.5469
0.5000 0.5000 0.0469
0.0000 0.5000 0.7675
0.5000 0.0000 0.2675
```

Output
final energy	-4.215	eV/atom

# 16
Be2HgMo after structural relaxation, computed with GGA-PBE.

The structure in POSCAR format:
```
Be2HgMo
1.0
2.8366 0.0000 0.0000
-1.4183 2.4566 0.0000
0.0000 0.0000 25.3659
Be Hg Mo
6 3 3
direct
0.0000 0.0000 0.2432
0.0000 0.0000 0.7568
0.3333 0.6667 0.4235
0.3333 0.6667 0.9099
0.6667 0.3333 0.0901
0.6667 0.3333 0.5765
0.0000 0.0000 0.0000
0.3333 0.6667 0.6667
0.6667 0.3333 0.3333
0.0000 0.0000 0.5000
0.3333 0.6667 0.1667
0.6667 0.3333 0.8333
```

Output
final energy	-4.114	eV/atom

# 17
Be2HgMo after structural relaxation, computed with GGA-PBE.

The structure in POSCAR format:
```
Be2HgMo
1.0
3.1411 0.0000 0.0000
0.0000 3.1411 0.0000
0.0000 0.0000 5.7656
Be Hg Mo
2 1 1
direct
0.0000 0.0000 0.1820
0.0000 0.0000 0.8180
0.5000 0.5000 0.5000
0.5000 0.5000 0.0000
```

Output
final energy	-4.326	eV/atom

# 18
BeHgMo3 after structural relaxation, computed with GGA-PBE.

The structure in POSCAR format:
```
BeHgMo3
1.0
4.9200 0.0000 0.0000
0.0000 4.9200 0.0000
0.0000 0.0000 4.9200
Be Hg Mo
1 1 3
direct
0.0000 0.0000 0.0000
0.5000 0.5000 0.5000
0.0000 0.5000 0.5000
0.5000 0.0000 0.5000
0.5000 0.5000 0.0000
```

Output
excess energy over the best structure of this formula in the dataset	1046.9	kJ/mol of formula units

# 19
BeHgMo after structural relaxation, computed with GGA-PBE.

The structure in POSCAR format:
```
BeHgMo
1.0
2.7380 0.0000 0.0000
0.0000 3.1850 0.0000
0.0000 0.0000 10.4379
Be Hg Mo
2 2 2
direct
0.0000 0.0000 0.0000
0.5000 0.5000 0.5000
0.0000 0.0000 0.6617
0.5000 0.5000 0.1617
0.0000 0.0000 0.3693
0.5000 0.5000 0.8693
```

Output
excess energy over the best structure of this formula in the dataset	0.0	kJ/mol of formula units

# 20
Be2HgMo2 after structural relaxation, computed with GGA-PBE.

The structure in POSCAR format:
```
Be2HgMo2
1.0
7.1029 0.0000 0.0000
0.0000 7.1029 0.0000
0.0000 0.0000 2.9593
Be Hg Mo
4 2 4
direct
0.1780 0.3220 0.0000
0.3220 0.8220 0.0000
0.6780 0.1780 0.0000
0.8220 0.6780 0.0000
0.0000 0.0000 0.5000
0.5000 0.5000 0.5000
0.1174 0.6174 0.5000
0.3826 0.1174 0.5000
0.6174 0.8826 0.5000
0.8826 0.3826 0.5000
```

Output
excess energy over the best structure of this formula in the dataset	133.0	kJ/mol of formula units

# 21
Be2HgMo after structural relaxation, computed with GGA-PBE.

The structure in POSCAR format:
```
Be2HgMo
1.0
3.9918 0.0000 0.0000
0.0000 3.9918 0.0000
0.0000 0.0000 3.3288
Be Hg Mo
2 1 1
direct
0.0000 0.5000 0.0000
0.5000 0.0000 0.0000
0.0000 0.0000 0.5000
0.5000 0.5000 0.5000
```

Output
final energy	-4.387	eV/atom

# 22
BeHgMo2 after structural relaxation, computed with GGA-PBE.

The structure in POSCAR format:
```
BeHgMo2
1.0
2.8371 0.0000 0.0000
-1.4186 2.4570 0.0000
0.0000 0.0000 27.4905
Be Hg Mo
3 3 6
direct
0.0000 0.0000 0.0000
0.3333 0.6667 0.6667
0.6667 0.3333 0.3333
0.0000 0.0000 0.7490
0.3333 0.6667 0.4157
0.6667 0.3333 0.0823
0.0000 0.0000 0.2625
0.0000 0.0000 0.5103
0.3333 0.6667 0.1770
0.3333 0.6667 0.9292
0.6667 0.3333 0.5958
0.6667 0.3333 0.8437
```

Output
excess energy over the best structure of this formula in the dataset	87.0	kJ/mol of formula units

# 23
BeHgMo2 after structural relaxation, computed with GGA-PBE.

The structure in POSCAR format:
```
BeHgMo2
1.0
3.1876 0.0000 0.0000
0.0000 3.1876 0.0000
0.0000 0.0000 6.2670
Be Hg Mo
1 1 2
direct
0.0000 0.0000 0.0000
0.5000 0.5000 0.2617
0.0000 0.0000 0.5927
0.5000 0.5000 0.8029
```

Output
excess energy over the best structure of this formula in the dataset	0.0	kJ/mol of formula units

# 24
BeHgMo2 after structural relaxation, computed with GGA-PBE.

The structure in POSCAR format:
```
BeHgMo2
1.0
2.7698 0.0000 0.0000
0.0000 4.1636 0.0000
-0.6022 0.0000 5.4224
Be Hg Mo
1 1 2
direct
0.0000 0.0000 0.0000
0.0000 0.0000 0.5000
0.4423 0.5000 0.2154
0.5577 0.5000 0.7846
```

Output
excess energy over the best structure of this formula in the dataset	40.6	kJ/mol of formula units

# 25
BeHgMo2 after structural relaxation, computed with GGA-PBE.

The structure in POSCAR format:
```
BeHgMo2
1.0
3.3356 0.0000 0.0000
0.0000 4.5298 0.0000
0.0000 0.0000 8.1309
Be Hg Mo
2 2 4
direct
0.0000 0.0000 0.0000
0.5000 0.5000 0.5000
0.0000 0.5000 0.7236
0.5000 0.0000 0.2236
0.0000 0.0000 0.5086
0.0000 0.5000 0.2585
0.5000 0.0000 0.7585
0.5000 0.5000 0.0086
```

Output
excess energy over the best structure of this formula in the dataset	46.3	kJ/mol of formula units

# 26
BeHgMo2 after structural relaxation, computed with GGA-PBE.

The structure in POSCAR format:
```
BeHgMo2
1.0
6.3152 0.0000 0.0000
0.0000 6.3152 0.0000
0.0000 0.0000 6.3152
Be Hg Mo
4 4 8
direct
0.0000 0.0000 0.0000
0.0000 0.5000 0.5000
0.5000 0.0000 0.5000
0.5000 0.5000 0.0000
0.2500 0.2500 0.7500
0.2500 0.7500 0.2500
0.7500 0.2500 0.2500
0.7500 0.7500 0.7500
0.0000 0.0000 0.5000
0.0000 0.5000 0.0000
0.2500 0.2500 0.2500
0.2500 0.7500 0.7500
0.5000 0.0000 0.0000
0.5000 0.5000 0.5000
0.7500 0.2500 0.7500
0.7500 0.7500 0.2500
```

Output
excess energy over the best structure of this formula in the dataset	113.7	kJ/mol of formula units

# 27
BeHgMo2 after structural relaxation, computed with GGA-PBE.

The structure in POSCAR format:
```
BeHgMo2
1.0
2.7408 0.0000 0.0000
0.0000 2.7408 0.0000
0.0000 0.0000 8.2742
Be Hg Mo
1 1 2
direct
0.0000 0.0000 0.0000
0.5000 0.5000 0.2357
0.0000 0.0000 0.5246
0.5000 0.5000 0.7975
```

Output
excess energy over the best structure of this formula in the dataset	55.6	kJ/mol of formula units

# 28
NaBe2HgMo after structural relaxation, computed with GGA-PBE.

The structure in POSCAR format:
```
NaBe2HgMo
1.0
4.3452 0.0000 0.0000
0.0000 4.3452 0.0000
0.0000 0.0000 4.6909
Na Be Hg Mo
1 2 1 1
direct
0.0000 0.0000 0.0000
0.0000 0.5000 0.0000
0.5000 0.0000 0.0000
0.5000 0.5000 0.5000
0.0000 0.0000 0.5000
```

Output
final energy	-2.071	eV/atom

Calculated D(E_F) in order - 7.9; 15.4; 3.6; 1.2; 4.4; 4.2; 4.7; 5.3; 2.4; 14.9; 3.9; 3.6; 1.8; 5.7; 3.8; 4.5; 1.8; 15.8; 3.6; 8.7; 2.0; 8.4; 1.9; 2.2; 3.7; 7.7; 3.1; 2.2 states/eV/cell